First-principles (PBE-GGA) data for an optimized crystal structure of KBeRh2, as listed in the Alexandria database.

The structure in extended XYZ format:
```
8
Lattice="-2.389 2.389 7.694 2.389 -2.389 7.694 2.389 2.389 -7.694" Properties=species:S:1:pos:R:3 pbc="T T T"
K 0.000 0.000 0.000
K 0.000 2.389 3.847
Be 2.389 0.000 3.847
Be 0.000 0.000 7.694
Rh 1.194 2.031 -1.924
Rh 2.747 1.194 1.924
Rh 1.194 0.358 5.771
Rh -0.358 1.194 9.618
```



First-principles (PBE-GGA) data for an optimized crystal structure of KBeRh3, as listed in the Alexandria database.

Values from the calculation:
The excess energy over the best structure of this formula in the dataset is 1964 meV/atom.

The structure in extended XYZ format:
```
5
Lattice="4.649 0.000 0.000 0.000 4.649 0.000 0.000 0.000 4.649" Properties=species:S:1:pos:R:3 pbc="T T T"
K 0.000 0.000 0.000
Be 2.325 2.325 2.325
Rh 0.000 0.000 2.325
Rh 0.000 2.325 0.000
Rh 2.325 0.000 0.000
```



First-principles (PBE-GGA) data for an optimized crystal structure of K2BeRh, as listed in the Alexandria database.

The structure in extended XYZ format:
```
4
Lattice="4.204 0.000 0.000 0.000 4.793 0.000 -0.424 0.000 8.086" Properties=species:S:1:pos:R:3 pbc="T T T"
K 0.835 0.000 1.879
K 2.944 0.000 6.206
Be 2.102 2.396 0.000
Rh 0.000 2.396 0.000
```



Computed ΔH_f (0 K), in the same sequence as the records: 629 2454 535 meV per atom.
Computed total energy, in the same sequence as the records: -4.25 -2.92 -2.78 eV per atom.